# Be2BiIr2 PBE optimized geometry
# Spin magnetization in μB/atom: 0.00
# Relative energy among the computed polymorphs in meV per atom: 0.0
data_Be2BiIr2
_cell_length_a 3.764
_cell_length_b 3.764
_cell_length_c 10.810
_cell_angle_alpha 90.00
_cell_angle_beta 90.00
_cell_angle_gamma 90.00
_space_group_name_H-M_alt 'I 4/m m m'
_space_group_IT_number 139
_space_group_name_Hall '-I 4 2'
loop_
_atom_site_label
_atom_site_fract_x
_atom_site_fract_y
_atom_site_fract_z
Be1 0.000 0.500 0.250
Bi1 0.000 0.000 0.000
Ir1 0.000 0.000 0.374

---

# Pm4Pr2HoEr PBE optimized geometry
# E in eV/f.u.: -34.63
# Spin magnetization in μB/atom: 0.00
data_Pm4Pr2HoEr
_cell_length_a 13.806
_cell_length_b 13.357
_cell_length_c 6.910
_cell_angle_alpha 90.00
_cell_angle_beta 119.79
_cell_angle_gamma 90.00
_space_group_name_H-M_alt 'C 1 2/c 1'
_space_group_IT_number 15
loop_
_space_group_symop_operation_xyz
'x,y,z'
'-x,-y,-z'
'-x,y,-z+1/2'
'x,-y,z+1/2'
'x+1/2,y+1/2,z'
'-x+1/2,-y+1/2,-z'
'-x+1/2,y+1/2,-z+1/2'
'x+1/2,-y+1/2,z+1/2'
loop_
_atom_site_label
_atom_site_fract_x
_atom_site_fract_y
_atom_site_fract_z
Pm1 0.007 0.245 0.008
Pm2 0.246 0.003 0.461
Pr1 0.000 0.500 0.000
Pr2 0.250 0.250 0.000
Ho1 0.000 0.000 0.000
Er1 0.250 0.250 0.500

---

# Rb2SiIrI6 PBE optimized geometry
# Spin magnetization in μB/atom: 0.00
# Formation energy from raw total energies in meV/atom: -484
data_Rb2SiIrI6
_cell_length_a 8.041
_cell_length_b 8.041
_cell_length_c 11.412
_cell_angle_alpha 90.00
_cell_angle_beta 90.00
_cell_angle_gamma 90.00
_space_group_name_H-M_alt 'I 4/m m m'
_space_group_IT_number 139
_space_group_name_Hall '-I 4 2'
loop_
_atom_site_label
_atom_site_fract_x
_atom_site_fract_y
_atom_site_fract_z
Rb1 0.000 0.500 0.250
Si1 0.000 0.000 0.000
Ir1 0.000 0.000 0.500
I1 0.000 0.000 0.259
I2 0.242 0.242 0.500

---

# Er6Bi3Te2Pb PBE optimized geometry
# Spin magnetization in μB/atom: 0.00
# Formation energy from raw total energies in meV/atom: -919
data_Er6Bi3Te2Pb
_cell_length_a 19.184
_cell_length_b 4.412
_cell_length_c 8.818
_cell_angle_alpha 90.00
_cell_angle_beta 103.19
_cell_angle_gamma 90.00
_space_group_name_H-M_alt 'C 1 2/m 1'
_space_group_IT_number 12
loop_
_space_group_symop_operation_xyz
'x,y,z'
'-x,-y,-z'
'-x,y,-z'
'x,-y,z'
'x+1/2,y+1/2,z'
'-x+1/2,-y+1/2,-z'
'-x+1/2,y+1/2,-z'
'x+1/2,-y+1/2,z'
loop_
_atom_site_label
_atom_site_fract_x
_atom_site_fract_y
_atom_site_fract_z
Er1 0.001 0.000 0.256
Er2 0.163 0.500 0.579
Er3 0.165 0.500 0.086
Bi1 0.000 0.500 0.000
Bi2 0.169 0.000 0.333
Te1 0.168 0.000 0.836
Pb1 0.000 0.500 0.500

---

# Sm9Dy4Ag11 PBE optimized geometry
# E in eV/f.u.: -96.73
# Spin magnetization in μB/atom: 0.04
data_Sm9Dy4Ag11
_cell_length_a 15.380
_cell_length_b 22.435
_cell_length_c 3.568
_cell_angle_alpha 90.00
_cell_angle_beta 90.00
_cell_angle_gamma 90.00
_space_group_name_H-M_alt 'C m m m'
_space_group_IT_number 65
_space_group_name_Hall '-C 2 2'
loop_
_atom_site_label
_atom_site_fract_x
_atom_site_fract_y
_atom_site_fract_z
Sm1 0.000 0.000 0.000
Sm2 0.117 0.245 0.000
Sm3 0.124 0.417 0.000
Dy1 0.149 0.093 0.000
Ag1 0.000 0.143 0.500
Ag2 0.000 0.335 0.500
Ag3 0.000 0.500 0.500
Ag4 0.240 0.000 0.500
Ag5 0.240 0.323 0.500

---

# Ta2ZnGa4 PBE optimized geometry
# Spin magnetization in μB/atom: 0.00
# Relative energy among the computed polymorphs in meV per atom: 551.1
data_Ta2ZnGa4
_cell_length_a 4.745
_cell_length_b 4.745
_cell_length_c 12.956
_cell_angle_alpha 90.00
_cell_angle_beta 90.00
_cell_angle_gamma 90.00
_space_group_name_H-M_alt 'I 4/m m m'
_space_group_IT_number 139
_space_group_name_Hall '-I 4 2'
loop_
_atom_site_label
_atom_site_fract_x
_atom_site_fract_y
_atom_site_fract_z
Ta1 0.000 0.000 0.103
Zn1 0.000 0.000 0.500
Ga1 0.000 0.000 0.311
Ga2 0.000 0.500 0.000